This record from Alexandria describes an optimized crystal structure of NiHSe2. The functional is PBE.

POSCAR file:
```
NiHSe2
1.0
-6.0190 0.3712 1.0227
-0.5056 -0.8227 3.4077
-1.2158 6.0874 3.2000
Se H Ni
4 2 2
Direct
0.4347 0.1585 0.6013
0.0072 0.7394 0.8625
0.0035 0.9943 0.3742
0.6132 0.7639 0.1147
0.5330 0.2135 0.0625
0.7401 0.4774 0.6665
0.0209 0.3577 0.6210
0.6918 0.6151 0.4443
```

Properties
ΔE to the lowest computed polymorph, eV per atom: 0.0333


This record from Alexandria describes an optimized crystal structure of Ti8Pd2Pt3. The functional is PBE.

POSCAR file:
```
Ti8Pd2Pt3
1.0
5.1708 0.0000 0.0000
2.5854 4.4781 0.0000
2.5854 1.4927 9.5006
Ti Pt Pd
8 3 2
Direct
0.7782 0.2761 0.6695
0.2761 0.7782 0.6695
0.7239 0.7239 0.3305
0.7239 0.2218 0.3305
0.7135 0.7135 0.8595
0.2865 0.2865 0.1405
0.2218 0.7239 0.3305
0.2761 0.2761 0.6695
0.8085 0.8085 0.5746
0.0000 0.0000 0.0000
0.1915 0.1915 0.4254
0.3693 0.3693 0.8920
0.6307 0.6307 0.1080
```

Properties
E_form, eV per formula unit: -2.95


This record from Alexandria describes an optimized crystal structure of Sm3DyTh4. The functional is PBE.

POSCAR file:
```
Sm3DyTh4
1.0
3.3186 -0.0008 -0.9438
-0.9784 10.8771 -3.4456
0.5513 -3.3610 8.2739
Sm Th Dy
3 4 1
Direct
0.0000 0.5000 0.0000
0.7658 0.7651 0.5302
0.2342 0.2349 0.4698
0.3717 0.6171 0.7410
0.6283 0.3829 0.2590
0.6288 0.8769 0.2594
0.3712 0.1231 0.7406
0.5000 0.0000 0.0000
```

Properties
E_form, eV per formula unit: 1.17


This record from Alexandria describes an optimized crystal structure of Y6Ho3Er2Mg. The functional is PBE.

POSCAR file:
```
Y6Ho3Er2Mg
1.0
6.1245 -0.0024 -0.0028
-3.0628 5.3036 -0.0028
-1.0245 -1.7740 11.4803
Er Y Ho Mg
2 6 3 1
Direct
0.6665 0.3335 0.0000
0.3335 0.6665 0.0000
0.2513 0.2513 0.7513
0.5855 0.9183 0.7523
0.9183 0.5855 0.7523
0.4145 0.0817 0.2477
0.7487 0.7487 0.2487
0.0817 0.4145 0.2477
0.8341 0.1659 0.5000
0.5000 0.5000 0.5000
0.1659 0.8341 0.5000
0.0000 0.0000 0.0000
```

Properties
E_form, eV per formula unit: 0.43


This record from Alexandria describes an optimized crystal structure of La8CeCo2. The functional is PBE.

POSCAR file:
```
La8CeCo2
1.0
6.6099 -0.8832 -0.6702
-1.0086 7.7935 0.7007
-1.0086 2.7734 7.3170
La Ce Co
8 1 2
Direct
0.2260 0.3593 0.3593
0.2830 0.8694 0.8694
0.7346 0.1498 0.5975
0.7170 0.1306 0.1306
0.7740 0.6407 0.6407
0.7346 0.5975 0.1498
0.2654 0.4025 0.8502
0.2654 0.8502 0.4025
0.0000 0.0000 0.0000
0.5684 0.7635 0.7635
0.4316 0.2365 0.2365
```

Properties
E_form, eV per formula unit: 0.28


This record from Alexandria describes an optimized crystal structure of La2SnBr. The functional is PBE.

POSCAR file:
```
La2SnBr
1.0
-6.2056 0.3320 -0.4956
-0.3082 -6.2190 -0.3066
-3.9555 -3.3275 8.0884
Br La Sn
2 4 2
Direct
0.5000 0.5000 0.0000
0.2500 0.7500 0.5000
0.6143 0.1250 0.2500
0.1357 0.6250 0.2500
0.3750 0.3857 0.7500
0.8750 0.8643 0.7500
0.7500 0.2500 0.5000
0.0000 0.0000 0.0000
```

Properties
ΔE to the lowest computed polymorph, eV per atom: 0.4999
Formation energy (no corrections), meV per atom: -607


Number 1: VASP energy -4.125 eV/atom. Number 2: VASP energy -7.278 eV/atom. Number 3: VASP energy -5.909 eV/atom. Number 4: VASP energy -5.234 eV/atom. Number 5: VASP energy -5.390 eV/atom. Number 6: VASP energy -4.490 eV/atom.